[1]
DFT (PBE-GGA) results for an optimized crystal structure of Th2Co2Si.

a = 5.9472 Å, b = 5.9472 Å, c = 10.3478 Å
α = 116.86°, β = 116.86°, γ = 38.33°
Sites, in units of the cell vectors:
Th 0.0964 0.0964 0.4063
Th 0.3025 0.3025 0.8456
Th 0.6975 0.6975 0.1544
Th 0.9036 0.9036 0.5937
Co 0.0529 0.0529 0.9243
Co 0.3757 0.3757 0.3774
Co 0.6243 0.6243 0.6226
Co 0.9471 0.9471 0.0757
Si 0.4198 0.4198 0.1751
Si 0.5802 0.5802 0.8249

Raw total energy = -73.65 eV per cell
Magnetization = 0.0001 μB/atom
Space group = C2/m, No. 12

***

[2]
DFT (PBE-GGA) results for an optimized crystal structure of Nd6SbBr8.

a = 11.6204 Å, b = 11.6204 Å, c = 11.6204 Å
α = 37.02°, β = 37.02°, γ = 37.02°
Sites, in units of the cell vectors:
Nd 0.1037 0.4481 0.7915
Nd 0.2085 0.8963 0.5519
Nd 0.4481 0.7915 0.1037
Nd 0.5519 0.2085 0.8963
Nd 0.7915 0.1037 0.4481
Nd 0.8963 0.5519 0.2085
Sb 0.5000 0.5000 0.5000
Br 0.0672 0.7166 0.3915
Br 0.1666 0.1666 0.1666
Br 0.2834 0.6085 0.9328
Br 0.3915 0.0672 0.7166
Br 0.6085 0.9328 0.2834
Br 0.7166 0.3915 0.0672
Br 0.8334 0.8334 0.8334
Br 0.9328 0.2834 0.6085

Raw total energy = -67.86 eV per cell
Magnetization = 0.0000 μB/atom
Space group = R-3, No. 148